A geometry-optimized Zr2Sc2Pd structure. Source: Alexandria, functional PBE.

Calculated values
ΔE_f ... -0.060 eV per atom
Symmetry ... No. 127
D(E_F) ... 0.75 states/eV/atom
Magnetic moment ... 0.00 μB per cell
Uncorrected energy ... -70.51 eV/cell

Cell: 6.8794 6.8794 4.8579 Å, 90.00 90.00 90.00°
Atoms (fractional coordinates):
Sc 0.8392 0.3392 0.5000
Pd 0.0000 0.0000 0.0000
Sc 0.1608 0.6608 0.5000
Zr 0.3562 0.8562 0.0000
Sc 0.6608 0.8392 0.5000
Sc 0.3392 0.1608 0.5000
Zr 0.6438 0.1438 0.0000
Zr 0.8562 0.6438 0.0000
Pd 0.5000 0.5000 0.0000
Zr 0.1438 0.3562 0.0000